Entry 1:
This record from the Alexandria database describes a geometry-optimized AgTeRuI2 structure. The functional is PBE.

Raw total energy, eV/atom: -3.2074
Crystal system: tetragonal

Structure (CIF):
```
data_AgTeRuI2
_symmetry_space_group_name_H-M 'P 1'
_symmetry_Int_Tables_number 1
_cell_length_a 5.661
_cell_length_b 5.661
_cell_length_c 4.949
_cell_angle_alpha 90.00
_cell_angle_beta 90.00
_cell_angle_gamma 90.00
loop_
_symmetry_equiv_pos_as_xyz
'x,y,z'
loop_
_atom_site_label
_atom_site_type_symbol
_atom_site_fract_x
_atom_site_fract_y
_atom_site_fract_z
Te1 Te 0.000 0.000 0.500
I1 I 0.500 0.000 0.000
I2 I 0.000 0.500 0.000
Ag1 Ag 0.500 0.500 0.500
Ru1 Ru 0.000 0.000 0.000
```

***

Entry 2:
This record from the Alexandria database describes a geometry-optimized Ag2Ru structure. The functional is PBE.

Raw total energy, eV/atom: -4.5546
ΔH_f (0 K), kcal/mol of atoms: 10.1
Crystal system: monoclinic

Structure (CIF):
```
data_Ag2Ru
_symmetry_space_group_name_H-M 'P 1'
_symmetry_Int_Tables_number 1
_cell_length_a 5.577
_cell_length_b 5.577
_cell_length_c 6.901
_cell_angle_alpha 73.55
_cell_angle_beta 73.55
_cell_angle_gamma 29.15
loop_
_symmetry_equiv_pos_as_xyz
'x,y,z'
loop_
_atom_site_label
_atom_site_type_symbol
_atom_site_fract_x
_atom_site_fract_y
_atom_site_fract_z
Ru1 Ru 0.292 0.292 0.918
Ru2 Ru 0.930 0.930 0.630
Ag1 Ag 0.003 0.003 0.005
Ag2 Ag 0.615 0.615 0.277
Ag3 Ag 0.336 0.336 0.336
Ag4 Ag 0.657 0.657 0.667
```

***

Entry 3:
This record from the Alexandria database describes a geometry-optimized LiAg3Pd3 structure. The functional is PBE.

Raw total energy, eV/atom: -3.5572
ΔH_f (0 K), kcal/mol of atoms: 3.8
Crystal system: hexagonal

Structure (CIF):
```
data_LiAg3Pd3
_symmetry_space_group_name_H-M 'P 1'
_symmetry_Int_Tables_number 1
_cell_length_a 2.744
_cell_length_b 11.237
_cell_length_c 11.237
_cell_angle_alpha 120.00
_cell_angle_beta 90.00
_cell_angle_gamma 90.00
loop_
_symmetry_equiv_pos_as_xyz
'x,y,z'
loop_
_atom_site_label
_atom_site_type_symbol
_atom_site_fract_x
_atom_site_fract_y
_atom_site_fract_z
Ag1 Ag 0.750 0.749 0.634
Ag2 Ag 0.750 0.885 0.251
Ag3 Ag 0.250 0.115 0.749
Ag4 Ag 0.750 0.366 0.115
Ag5 Ag 0.250 0.251 0.366
Ag6 Ag 0.250 0.634 0.885
Pd1 Pd 0.250 0.388 0.911
Pd2 Pd 0.250 0.522 0.612
Pd3 Pd 0.250 0.089 0.478
Pd4 Pd 0.750 0.478 0.388
Pd5 Pd 0.750 0.911 0.522
Pd6 Pd 0.750 0.612 0.089
Li1 Li 0.250 0.333 0.667
Li2 Li 0.750 0.667 0.333
```

***

Entry 4:
This record from the Alexandria database describes a geometry-optimized Tm3ThN structure. The functional is PBE.

Raw total energy, eV/atom: -6.2967
Crystal system: cubic

Structure (CIF):
```
data_Tm3ThN
_symmetry_space_group_name_H-M 'P 1'
_symmetry_Int_Tables_number 1
_cell_length_a 4.904
_cell_length_b 4.904
_cell_length_c 4.904
_cell_angle_alpha 90.00
_cell_angle_beta 90.00
_cell_angle_gamma 90.00
loop_
_symmetry_equiv_pos_as_xyz
'x,y,z'
loop_
_atom_site_label
_atom_site_type_symbol
_atom_site_fract_x
_atom_site_fract_y
_atom_site_fract_z
Tm1 Tm 0.000 0.500 0.000
Tm2 Tm 0.000 0.000 0.500
Tm3 Tm 0.500 0.000 0.000
N1 N 0.000 0.000 0.000
Th1 Th 0.500 0.500 0.500
```

***

Entry 5:
This record from the Alexandria database describes a geometry-optimized K4Y3ZrSe8 structure. The functional is PBE.

Raw total energy, eV/atom: -5.4061
Crystal system: trigonal

Structure (CIF):
```
data_K4Y3ZrSe8
_symmetry_space_group_name_H-M 'P 1'
_symmetry_Int_Tables_number 1
_cell_length_a 8.292
_cell_length_b 9.067
_cell_length_c 8.293
_cell_angle_alpha 117.24
_cell_angle_beta 120.00
_cell_angle_gamma 90.00
loop_
_symmetry_equiv_pos_as_xyz
'x,y,z'
loop_
_atom_site_label
_atom_site_type_symbol
_atom_site_fract_x
_atom_site_fract_y
_atom_site_fract_z
Se1 Se 0.736 0.708 0.472
Se2 Se 0.264 0.292 0.528
Se3 Se 0.254 0.296 0.025
Se4 Se 0.771 0.296 0.542
Se5 Se 0.746 0.704 0.975
Se6 Se 0.771 0.296 0.025
Se7 Se 0.229 0.704 0.458
Se8 Se 0.229 0.704 0.975
K1 K 0.000 0.000 0.500
K2 K 0.000 0.000 0.000
K3 K 0.500 0.000 0.000
K4 K 0.500 0.000 0.500
Y1 Y 0.500 0.500 0.500
Y2 Y 0.500 0.500 0.000
Y3 Y 0.000 0.500 0.500
Zr1 Zr 0.000 0.500 0.000
```

***

Entry 6:
This record from the Alexandria database describes a geometry-optimized Sm4InSnH structure. The functional is PBE.

Raw total energy, eV/atom: -4.6531
Crystal system: orthorhombic

Structure (CIF):
```
data_Sm4InSnH
_symmetry_space_group_name_H-M 'P 1'
_symmetry_Int_Tables_number 1
_cell_length_a 6.571
_cell_length_b 6.564
_cell_length_c 9.267
_cell_angle_alpha 90.00
_cell_angle_beta 110.77
_cell_angle_gamma 90.00
loop_
_symmetry_equiv_pos_as_xyz
'x,y,z'
loop_
_atom_site_label
_atom_site_type_symbol
_atom_site_fract_x
_atom_site_fract_y
_atom_site_fract_z
Sm1 Sm 0.500 0.500 0.500
Sm2 Sm 0.928 0.250 0.856
Sm3 Sm 0.000 0.500 0.500
Sm4 Sm 0.072 0.750 0.144
Sm5 Sm 0.500 0.000 0.500
Sm6 Sm 0.000 0.000 0.500
Sm7 Sm 0.429 0.750 0.858
Sm8 Sm 0.571 0.250 0.142
H1 H 0.292 0.750 0.584
H2 H 0.708 0.250 0.416
In1 In 0.386 0.250 0.772
In2 In 0.614 0.750 0.228
Sn1 Sn 0.113 0.250 0.226
Sn2 Sn 0.887 0.750 0.774
```

***

Entry 7:
This record from the Alexandria database describes a geometry-optimized EuDyMgSn structure. The functional is PBE.

Raw total energy, eV/atom: -5.5137
ΔH_f (0 K), kcal/mol of atoms: -9.1
Crystal system: cubic

Structure (CIF):
```
data_EuDyMgSn
_symmetry_space_group_name_H-M 'P 1'
_symmetry_Int_Tables_number 1
_cell_length_a 5.409
_cell_length_b 5.409
_cell_length_c 5.409
_cell_angle_alpha 60.00
_cell_angle_beta 60.00
_cell_angle_gamma 60.00
loop_
_symmetry_equiv_pos_as_xyz
'x,y,z'
loop_
_atom_site_label
_atom_site_type_symbol
_atom_site_fract_x
_atom_site_fract_y
_atom_site_fract_z
Mg1 Mg 0.000 0.000 0.000
Dy1 Dy 0.250 0.250 0.250
Sn1 Sn 0.500 0.500 0.500
Eu1 Eu 0.750 0.750 0.750
```

***

Entry 8:
This record from the Alexandria database describes a geometry-optimized ScSbNO2 structure. The functional is PBE.

Raw total energy, eV/atom: -6.6184
Crystal system: tetragonal

Structure (CIF):
```
data_ScSbNO2
_symmetry_space_group_name_H-M 'P 1'
_symmetry_Int_Tables_number 1
_cell_length_a 4.025
_cell_length_b 4.025
_cell_length_c 4.240
_cell_angle_alpha 90.00
_cell_angle_beta 90.00
_cell_angle_gamma 90.00
loop_
_symmetry_equiv_pos_as_xyz
'x,y,z'
loop_
_atom_site_label
_atom_site_type_symbol
_atom_site_fract_x
_atom_site_fract_y
_atom_site_fract_z
Sb1 Sb 0.500 0.500 0.500
N1 N 0.000 0.000 0.500
O1 O 0.500 0.000 0.000
O2 O 0.000 0.500 0.000
Sc1 Sc 0.000 0.000 0.000
```

***

Entry 9:
This record from the Alexandria database describes a geometry-optimized Cu7PbF12 structure. The functional is PBE.

Raw total energy, eV/atom: -4.1905
Crystal system: cubic

Structure (CIF):
```
data_Cu7PbF12
_symmetry_space_group_name_H-M 'P 1'
_symmetry_Int_Tables_number 1
_cell_length_a 6.869
_cell_length_b 6.869
_cell_length_c 6.869
_cell_angle_alpha 109.47
_cell_angle_beta 109.47
_cell_angle_gamma 109.47
loop_
_symmetry_equiv_pos_as_xyz
'x,y,z'
loop_
_atom_site_label
_atom_site_type_symbol
_atom_site_fract_x
_atom_site_fract_y
_atom_site_fract_z
F1 F 0.830 0.136 0.306
F2 F 0.475 0.306 0.170
F3 F 0.170 0.475 0.306
F4 F 0.306 0.170 0.475
F5 F 0.864 0.694 0.170
F6 F 0.136 0.306 0.830
F7 F 0.306 0.830 0.136
F8 F 0.694 0.830 0.525
F9 F 0.694 0.170 0.864
F10 F 0.525 0.694 0.830
F11 F 0.830 0.525 0.694
F12 F 0.170 0.864 0.694
Cu1 Cu 0.500 0.000 0.000
Cu2 Cu 0.500 0.500 0.500
Cu3 Cu 0.500 0.000 0.500
Cu4 Cu 0.000 0.500 0.500
Cu5 Cu 0.000 0.000 0.500
Cu6 Cu 0.000 0.500 0.000
Cu7 Cu 0.500 0.500 0.000
Pb1 Pb 0.000 0.000 0.000
```

***

Entry 10:
This record from the Alexandria database describes a geometry-optimized Cs2TlHg6Pb structure. The functional is PBE.

Raw total energy, eV/atom: -1.0845
ΔH_f (0 K), kcal/mol of atoms: -2.9
Crystal system: triclinic

Structure (CIF):
```
data_Cs2TlHg6Pb
_symmetry_space_group_name_H-M 'P 1'
_symmetry_Int_Tables_number 1
_cell_length_a 6.629
_cell_length_b 10.423
_cell_length_c 8.410
_cell_angle_alpha 51.15
_cell_angle_beta 67.04
_cell_angle_gamma 90.35
loop_
_symmetry_equiv_pos_as_xyz
'x,y,z'
loop_
_atom_site_label
_atom_site_type_symbol
_atom_site_fract_x
_atom_site_fract_y
_atom_site_fract_z
Hg1 Hg 0.755 0.744 0.007
Hg2 Hg 0.766 0.261 0.980
Hg3 Hg 0.245 0.256 0.993
Hg4 Hg 0.260 0.402 0.499
Hg5 Hg 0.234 0.739 0.020
Hg6 Hg 0.740 0.598 0.501
Cs1 Cs 0.249 0.794 0.498
Cs2 Cs 0.751 0.206 0.502
Pb1 Pb 0.500 0.500 0.000
Tl1 Tl 0.000 0.000 0.000
```

***

Entry 11:
This record from the Alexandria database describes a geometry-optimized CaTl2Re structure. The functional is PBE.

Raw total energy, eV/atom: -4.2592
ΔH_f (0 K), kcal/mol of atoms: 12.4
Crystal system: tetragonal

Structure (CIF):
```
data_CaTl2Re
_symmetry_space_group_name_H-M 'P 1'
_symmetry_Int_Tables_number 1
_cell_length_a 3.306
_cell_length_b 3.306
_cell_length_c 8.228
_cell_angle_alpha 90.00
_cell_angle_beta 90.00
_cell_angle_gamma 89.97
loop_
_symmetry_equiv_pos_as_xyz
'x,y,z'
loop_
_atom_site_label
_atom_site_type_symbol
_atom_site_fract_x
_atom_site_fract_y
_atom_site_fract_z
Re1 Re 0.500 0.500 0.750
Ca1 Ca 0.500 0.500 0.250
Tl1 Tl 0.000 0.000 0.532
Tl2 Tl 0.000 0.000 0.968
```

***

What did the tenth record say?
This record from the Alexandria database describes a geometry-optimized Cs2TlHg6Pb structure. The functional is PBE.

Raw total energy, eV/atom: -1.0845
ΔH_f (0 K), kcal/mol of atoms: -2.9
Crystal system: triclinic

Structure (CIF):
```
data_Cs2TlHg6Pb
_symmetry_space_group_name_H-M 'P 1'
_symmetry_Int_Tables_number 1
_cell_length_a 6.629
_cell_length_b 10.423
_cell_length_c 8.410
_cell_angle_alpha 51.15
_cell_angle_beta 67.04
_cell_angle_gamma 90.35
loop_
_symmetry_equiv_pos_as_xyz
'x,y,z'
loop_
_atom_site_label
_atom_site_type_symbol
_atom_site_fract_x
_atom_site_fract_y
_atom_site_fract_z
Hg1 Hg 0.755 0.744 0.007
Hg2 Hg 0.766 0.261 0.980
Hg3 Hg 0.245 0.256 0.993
Hg4 Hg 0.260 0.402 0.499
Hg5 Hg 0.234 0.739 0.020
Hg6 Hg 0.740 0.598 0.501
Cs1 Cs 0.249 0.794 0.498
Cs2 Cs 0.751 0.206 0.502
Pb1 Pb 0.500 0.500 0.000
Tl1 Tl 0.000 0.000 0.000
```

***

The lowest raw total energy belongs to which entry?
ScSbNO2

***

Please write out number 3 again, unchanged.
This record from the Alexandria database describes a geometry-optimized LiAg3Pd3 structure. The functional is PBE.

Raw total energy, eV/atom: -3.5572
ΔH_f (0 K), kcal/mol of atoms: 3.8
Crystal system: hexagonal

Structure (CIF):
```
data_LiAg3Pd3
_symmetry_space_group_name_H-M 'P 1'
_symmetry_Int_Tables_number 1
_cell_length_a 2.744
_cell_length_b 11.237
_cell_length_c 11.237
_cell_angle_alpha 120.00
_cell_angle_beta 90.00
_cell_angle_gamma 90.00
loop_
_symmetry_equiv_pos_as_xyz
'x,y,z'
loop_
_atom_site_label
_atom_site_type_symbol
_atom_site_fract_x
_atom_site_fract_y
_atom_site_fract_z
Ag1 Ag 0.750 0.749 0.634
Ag2 Ag 0.750 0.885 0.251
Ag3 Ag 0.250 0.115 0.749
Ag4 Ag 0.750 0.366 0.115
Ag5 Ag 0.250 0.251 0.366
Ag6 Ag 0.250 0.634 0.885
Pd1 Pd 0.250 0.388 0.911
Pd2 Pd 0.250 0.522 0.612
Pd3 Pd 0.250 0.089 0.478
Pd4 Pd 0.750 0.478 0.388
Pd5 Pd 0.750 0.911 0.522
Pd6 Pd 0.750 0.612 0.089
Li1 Li 0.250 0.333 0.667
Li2 Li 0.750 0.667 0.333
```

***

What did the fifth record say?
This record from the Alexandria database describes a geometry-optimized K4Y3ZrSe8 structure. The functional is PBE.

Raw total energy, eV/atom: -5.4061
Crystal system: trigonal

Structure (CIF):
```
data_K4Y3ZrSe8
_symmetry_space_group_name_H-M 'P 1'
_symmetry_Int_Tables_number 1
_cell_length_a 8.292
_cell_length_b 9.067
_cell_length_c 8.293
_cell_angle_alpha 117.24
_cell_angle_beta 120.00
_cell_angle_gamma 90.00
loop_
_symmetry_equiv_pos_as_xyz
'x,y,z'
loop_
_atom_site_label
_atom_site_type_symbol
_atom_site_fract_x
_atom_site_fract_y
_atom_site_fract_z
Se1 Se 0.736 0.708 0.472
Se2 Se 0.264 0.292 0.528
Se3 Se 0.254 0.296 0.025
Se4 Se 0.771 0.296 0.542
Se5 Se 0.746 0.704 0.975
Se6 Se 0.771 0.296 0.025
Se7 Se 0.229 0.704 0.458
Se8 Se 0.229 0.704 0.975
K1 K 0.000 0.000 0.500
K2 K 0.000 0.000 0.000
K3 K 0.500 0.000 0.000
K4 K 0.500 0.000 0.500
Y1 Y 0.500 0.500 0.500
Y2 Y 0.500 0.500 0.000
Y3 Y 0.000 0.500 0.500
Zr1 Zr 0.000 0.500 0.000
```